The following is a GGA-PBE calculation of a geometry-optimized Ti3Sn structure, from Alexandria via LeMat-Bulk.

The structure in extended XYZ format:
```
4
Lattice="-0.502 -1.442 -2.677 0.864 -4.365 2.190 -4.824 2.524 1.318" Properties=species:S:1:pos:R:3 pbc="T T T"
Ti -1.997 -1.763 1.324
Ti 0.153 -2.763 -0.314
Ti -2.706 -0.304 -1.103
Sn 0.844 -4.266 2.141
```

Properties
ρ: 5.962 Mg/m³
Energy of formation: -159.0 meV/atom
E: -7.081 eV/atom